# MgMn2, relaxed, DFT PBE
data_MgMn2
_chemical_formula_sum 'Mg2 Mn4'
_cell_length_a 2.856
_cell_length_b 2.856
_cell_length_c 11.698
_cell_angle_alpha 90.00
_cell_angle_beta 90.00
_cell_angle_gamma 90.00
_symmetry_space_group_name_H-M 'I 4/m m m'
_symmetry_Int_Tables_number 139
_symmetry_space_group_name_Hall '-I 4 2'
loop_
_atom_site_label
_atom_site_fract_x
_atom_site_fract_y
_atom_site_fract_z
_atom_site_occupancy
Mg1 0.000 0.000 0.000 1
Mn1 0.000 0.000 0.323 1
# Calculated formation energy: 30.5 kJ per mole of atoms
# Total magnetization: 2.23 μB per atom
# D(E_F): 1.16 states/eV/f.u.